Entry from Alexandria via LeMat-Bulk: a relaxed CeAgRh crystal (GGA-PBE).

Results
Calculated formation energy ... -0.304 eV/atom
Space group ... I4mm, No. 107

a b c (Å): 5.5612 5.5612 5.5612
angles (deg): 142.82 142.82 53.60
Element x y z (fractional)
1 Ce 0.0000 0.0000 0.0000
2 Ag 0.6987 0.6987 0.0000
3 Rh 0.3675 0.3675 0.0000

=====

Entry from Alexandria via LeMat-Bulk: a relaxed MgTaRu2 crystal (GGA-PBE).

Results
Calculated formation energy ... -0.052 eV/atom
Space group ... Cmmm, No. 65

a b c (Å): 2.8723 2.8723 8.4352
angles (deg): 90.00 90.00 111.84
Element x y z (fractional)
1 Mg 0.0000 0.0000 0.0000
2 Ta 0.0000 0.0000 0.5000
3 Ru 0.5000 0.5000 0.2599
4 Ru 0.5000 0.5000 0.7401

=====

Entry from Alexandria via LeMat-Bulk: a relaxed AgAuO2F crystal (GGA-PBE).

Results
Uncorrected energy ... -3.2474 eV per atom
Space group ... P4/mmm, No. 123

a b c (Å): 4.1301 4.1301 4.1724
angles (deg): 90.00 90.00 90.00
Element x y z (fractional)
1 Ag 0.0000 0.0000 0.0000
2 Au 0.5000 0.5000 0.5000
3 O 0.0000 0.5000 0.0000
4 O 0.5000 0.0000 0.0000
5 F 0.0000 0.0000 0.5000

=====

Entry from Alexandria via LeMat-Bulk: a relaxed RbSrSb crystal (GGA-PBE).

Results
Uncorrected energy ... -2.7807 eV per atom
Space group ... I4mm, No. 107

a b c (Å): 7.3508 7.3508 7.3508
angles (deg): 143.58 143.58 52.46
Element x y z (fractional)
1 Rb 0.0000 0.0000 0.0000
2 Sr 0.7367 0.7367 0.0000
3 Sb 0.2933 0.2933 0.0000

=====

Entry from Alexandria via LeMat-Bulk: a relaxed Hf2NiC crystal (GGA-PBE).

Results
Calculated formation energy ... -0.515 eV/atom
Space group ... R-3m, No. 166

a b c (Å): 6.8258 6.8258 6.8258
angles (deg): 27.48 27.48 27.48
Element x y z (fractional)
1 Hf 0.2336 0.2336 0.2336
2 Hf 0.7664 0.7664 0.7664
3 Ni 0.0000 0.0000 0.0000
4 C 0.5000 0.5000 0.5000

=====

Entry from Alexandria via LeMat-Bulk: a relaxed TmFeGe2Rh crystal (GGA-PBE).

Results
Calculated formation energy ... -0.643 eV/atom
Space group ... I-4m2, No. 119

a b c (Å): 5.7747 5.7747 5.7747
angles (deg): 138.54 138.54 60.08
Element x y z (fractional)
1 Tm 0.0000 0.0000 0.0000
2 Fe 0.2500 0.7500 0.5000
3 Ge 0.3742 0.3742 0.0000
4 Ge 0.6258 0.6258 0.0000
5 Rh 0.7500 0.2500 0.5000

=====

| no. | calculated density (g/cm3) | density of states at the Fermi level (states/eV/cell) |
| --- | --- | --- |
| 1 | 9.336 | 3.52 |
| 2 | 10.473 | 3.87 |
| 3 | 8.302 | 3.85 |
| 4 | 3.517 | 1.12 |
| 5 | 11.883 | 2.73 |
| 6 | 9.399 | 2.69 |